# 1
Below is Pm4Pr2Tm after structural relaxation, with properties calculated at the PBE-GGA level.

Cell and atoms, written as POSCAR:
```
Pm4Pr2Tm
1.0
-0.984 3.497 -0.311
-3.512 0.873 -0.446
-3.829 2.633 20.376
Pm Pr Tm
4 2 1
Direct
0.143 0.143 0.571
0.713 0.713 0.862
0.287 0.287 0.138
0.857 0.857 0.429
0.428 0.428 0.717
0.572 0.572 0.283
0.000 0.000 0.000
```

The total energy comes out at -32.92 eV/cell. The space-group type is R-3m, No. 166. For the formation energy, the calculation gives 15 meV per atom.

=====

# 2
Below is Pm4Pr4Tm after structural relaxation, with properties calculated at the PBE-GGA level.

Cell and atoms, written as POSCAR:
```
Pm4Pr4Tm
1.0
-0.614 -0.806 6.894
3.045 -1.432 6.102
1.121 11.871 4.894
Pr Pm Tm
4 4 1
Direct
0.408 0.175 0.272
0.592 0.825 0.728
0.164 0.768 0.108
0.836 0.232 0.892
0.894 0.858 0.470
0.692 0.467 0.277
0.106 0.142 0.530
0.308 0.533 0.723
0.500 0.000 0.000
```

The total energy comes out at -41.60 eV/cell. The space-group type is P-1, No. 2. The energy above the most stable polymorph in this dataset comes out at 0.864 eV/f.u. For the formation energy, the calculation gives 110 meV per atom.

=====

# 3
Below is Pm2Pr3Tm6 after structural relaxation, with properties calculated at the PBE-GGA level.

Cell and atoms, written as POSCAR:
```
Pm2Pr3Tm6
1.0
-1.092 -0.702 6.024
-5.801 0.013 2.102
-0.906 -11.569 0.601
Tm Pm Pr
6 2 3
Direct
0.750 0.000 0.748
0.417 0.667 0.748
0.250 0.000 0.252
0.583 0.333 0.252
0.085 0.333 0.748
0.915 0.667 0.252
0.167 0.667 0.500
0.833 0.333 0.500
0.336 0.328 0.000
0.664 0.672 0.000
0.000 0.000 0.000
```

The total energy comes out at -48.53 eV/cell. The space-group type is C2/m, No. 12. The energy above the most stable polymorph in this dataset comes out at 0.000 eV/f.u. For the formation energy, the calculation gives 195 meV per atom.

=====

# 4
Below is Pm12PrTm2 after structural relaxation, with properties calculated at the PBE-GGA level.

Cell and atoms, written as POSCAR:
```
Pm12PrTm2
1.0
-2.486 -5.985 -0.508
5.990 -2.511 0.279
-1.783 -1.421 25.488
Pm Tm Pr
24 4 2
Direct
0.000 0.000 0.217
0.832 0.332 0.562
0.318 0.818 0.117
0.500 0.500 0.783
0.000 0.000 0.662
0.500 0.500 0.662
0.182 0.682 0.883
0.318 0.182 0.883
0.818 0.682 0.117
0.500 0.500 0.217
0.000 0.000 0.338
0.682 0.818 0.883
0.682 0.182 0.117
0.832 0.668 0.438
0.500 0.500 0.338
0.000 0.000 0.783
0.182 0.318 0.117
0.668 0.832 0.562
0.668 0.168 0.438
0.818 0.318 0.883
0.332 0.832 0.438
0.168 0.668 0.562
0.168 0.332 0.438
0.332 0.168 0.562
0.000 0.500 0.275
0.500 0.000 0.725
0.000 0.500 0.725
0.500 0.000 0.275
0.500 0.000 0.000
0.000 0.500 0.000
```

The total energy comes out at -132.18 eV/cell. The space-group type is P4/nbm, No. 125. For the formation energy, the calculation gives 309 meV per atom.

=====

# 5
Below is Pm5Pr4Tm2 after structural relaxation, with properties calculated at the PBE-GGA level.

Cell and atoms, written as POSCAR:
```
Pm5Pr4Tm2
1.0
-1.600 3.028 -1.047
-7.003 -4.638 -2.711
-3.483 0.126 11.809
Tm Pm Pr
2 5 4
Direct
0.587 0.697 0.175
0.413 0.303 0.825
0.500 0.000 0.000
0.870 0.956 0.740
0.184 0.476 0.368
0.816 0.524 0.632
0.130 0.044 0.260
0.960 0.653 0.920
0.040 0.347 0.080
0.274 0.175 0.548
0.726 0.825 0.452
```

The total energy comes out at -50.77 eV/cell. The space-group type is C2/m, No. 12. The energy above the most stable polymorph in this dataset comes out at 0.000 eV/f.u. For the formation energy, the calculation gives 95 meV per atom.

=====

# 6
Below is Pm3Pr3Tm5 after structural relaxation, with properties calculated at the PBE-GGA level.

Cell and atoms, written as POSCAR:
```
Pm3Pr3Tm5
1.0
-2.796 -1.609 -4.560
2.297 -9.168 1.826
-8.085 3.752 3.634
Tm Pr Pm
5 3 3
Direct
0.500 0.667 0.333
0.500 0.729 0.000
0.500 0.333 0.667
0.500 0.000 0.729
0.500 0.271 0.271
0.500 0.633 0.633
0.500 0.367 0.000
0.500 0.000 0.367
0.000 0.542 0.000
0.000 0.458 0.458
0.000 0.000 0.542
```

The total energy comes out at -42.41 eV/cell. The space-group type is P-62m, No. 189. For the formation energy, the calculation gives 776 meV per atom.

=====

# 7
Below is PmPrTm2 after structural relaxation, with properties calculated at the PBE-GGA level.

Cell and atoms, written as POSCAR:
```
PmPrTm2
1.0
7.295 0.000 0.000
0.000 6.139 -1.383
0.000 -3.628 12.584
Tm Pr Pm
8 4 4
Direct
0.242 0.542 0.373
0.758 0.458 0.627
0.000 0.959 0.625
0.242 0.958 0.127
0.000 0.041 0.375
0.758 0.042 0.873
0.000 0.541 0.875
0.000 0.459 0.125
0.499 0.545 0.875
0.501 0.455 0.125
0.501 0.045 0.375
0.499 0.955 0.625
0.754 0.543 0.378
0.246 0.043 0.878
0.246 0.457 0.622
0.754 0.957 0.122
```

The total energy comes out at -73.52 eV/cell. The space-group type is P2/c, No. 13. The energy above the most stable polymorph in this dataset comes out at 0.020 eV/f.u. For the formation energy, the calculation gives 23 meV per atom.

=====

# 8
Below is Pm12Pr2Tm5 after structural relaxation, with properties calculated at the PBE-GGA level.

Cell and atoms, written as POSCAR:
```
Pm12Pr2Tm5
1.0
9.982 0.000 0.000
-4.991 7.902 1.942
0.000 5.981 9.795
Pm Tm Pr
12 5 2
Direct
0.605 0.210 0.086
0.453 0.394 0.204
0.395 0.790 0.914
0.903 0.807 0.891
0.059 0.606 0.796
0.097 0.193 0.109
0.357 0.206 0.597
0.643 0.794 0.403
0.151 0.794 0.403
0.941 0.394 0.204
0.849 0.206 0.597
0.547 0.606 0.796
0.191 0.382 0.702
0.809 0.618 0.298
0.000 0.000 0.500
0.294 0.588 0.304
0.706 0.412 0.696
0.751 0.000 0.000
0.249 0.000 0.000
```

The total energy comes out at -87.02 eV/cell. The space-group type is C2/m, No. 12. The energy above the most stable polymorph in this dataset comes out at 0.000 eV/f.u. For the formation energy, the calculation gives 100 meV per atom.

=====

# 9
Below is Pm7Pr3Tm2 after structural relaxation, with properties calculated at the PBE-GGA level.

Cell and atoms, written as POSCAR:
```
Pm7Pr3Tm2
1.0
3.624 0.000 0.000
0.000 5.944 0.288
0.000 -1.962 19.104
Pr Pm Tm
3 7 2
Direct
0.000 0.221 0.366
0.000 0.779 0.634
0.500 0.500 0.000
0.000 0.000 0.000
0.500 0.809 0.819
0.500 0.191 0.181
0.500 0.257 0.536
0.000 0.689 0.146
0.000 0.311 0.854
0.500 0.743 0.464
0.500 0.287 0.705
0.500 0.713 0.295
```

The total energy comes out at -55.48 eV/cell. The space-group type is P2/m, No. 10. The energy above the most stable polymorph in this dataset comes out at 0.113 eV/f.u. For the formation energy, the calculation gives 88 meV per atom.

=====

# 10
Below is Pm2Pr3Tm2 after structural relaxation, with properties calculated at the PBE-GGA level.

Cell and atoms, written as POSCAR:
```
Pm2Pr3Tm2
1.0
-1.603 0.707 -3.194
6.432 -7.306 -4.841
-4.472 -4.339 -0.786
Tm Pr Pm
2 3 2
Direct
0.428 0.714 0.143
0.572 0.286 0.857
0.000 0.000 0.000
0.858 0.429 0.283
0.142 0.571 0.717
0.716 0.857 0.567
0.284 0.143 0.433
```

The total energy comes out at -32.67 eV/cell. The space-group type is C2/m, No. 12. The energy above the most stable polymorph in this dataset comes out at 0.000 eV/f.u. For the formation energy, the calculation gives 17 meV per atom.